No. 1
VASP calculation (PBE) on a relaxed structure of Pm2Nd6DyEr.

As for the energy of formation: 0.11 eV per atom.

The structure belongs to space group C2/c (No. 15); the cell edges are 9.2479, 15.4194 and 9.7881 Å and the angles 90.00°, 98.14° and 90.00°. The distinct sites, in fractional coordinates, are Pm at (0.2475, 0.0502, 0.0434), Nd at (0.0609, 0.1824, 0.4455), Nd at (0.1025, 0.3942, 0.6184), Nd at (0.2078, 0.2213, 0.8103), Dy at (0.0000, 0.0224, 0.7500) and Er at (0.0000, 0.4094, 0.2500).

No. 2
VASP calculation (PBE) on a relaxed structure of In2GaIrCl.

The formation energy from raw total energies is -0.49 eV/atom.

The structure belongs to space group P4/mmm (No. 123); the cell edges are 5.2275, 5.2275 and 4.8061 Å and the angles 90.00°, 90.00° and 90.00°. The distinct sites, in fractional coordinates, are In at (0.0000, 0.5000, 0.0000), Ga at (0.0000, 0.0000, 0.5000), Ir at (0.0000, 0.0000, 0.0000) and Cl at (0.5000, 0.5000, 0.5000).